# Pm5Dy3Y4 (GGA-PBE, optimized geometry)
data_Pm5Dy3Y4
_symmetry_space_group_name_H-M 'P 1'
_symmetry_Int_Tables_number 1
_symmetry_space_group_name_Hall 'P 1'
_cell_length_a 6.374
_cell_length_b 6.374
_cell_length_c 13.195
_cell_angle_alpha 103.12
_cell_angle_beta 103.12
_cell_angle_gamma 50.85
loop_
_atom_site_label
_atom_site_fract_x
_atom_site_fract_y
_atom_site_fract_z
Pm1 0.000 0.000 0.000
Pm2 0.139 0.139 0.466
Pm3 0.328 0.328 0.736
Pm4 0.672 0.672 0.264
Pm5 0.861 0.861 0.534
Dy1 0.043 0.043 0.781
Dy2 0.500 0.500 0.000
Dy3 0.957 0.957 0.219
Y1 0.268 0.268 0.105
Y2 0.411 0.411 0.371
Y3 0.589 0.589 0.629
Y4 0.732 0.732 0.895
# formation energy from the elements	0.222	eV per atom
# spin magnetization	0.3	μB per formula unit
# calculated total energy	-5.063	eV/atom
# SG	C2/m (12)